VASP calculation (PBEsol) on crystalline KTcP2Os at its relaxed geometry.

Cell and atoms, written as POSCAR:
```
KTcP2Os
1.0
4.501 0.000 0.000
0.000 4.501 0.000
0.000 0.000 5.709
K Tc P Os
1 1 2 1
Direct
0.000 0.000 0.000
0.500 0.500 0.000
0.000 0.500 0.500
0.500 0.000 0.500
0.000 0.000 0.500
```

Output
space group: P4/mmm (123)
total DFT energy (no corrections): -28.7 eV for the cell shown
M_tot: 3.92 μB per formula unit